No. 1
Here is crystalline BeHCl2 at its relaxed geometry from Alexandria via LeMat-Bulk. Energies are from PBE-GGA.

```
BeHCl2
1.0
-3.482 -0.229 4.927
-4.793 -1.267 -3.446
-3.307 -4.954 1.132
Cl H Be
4 2 2
Cartesian
-5.077 -4.142 1.768
-3.970 -1.564 3.452
-10.228 -5.158 1.780
-3.889 -2.035 -1.776
-4.137 -0.748 0.740
-6.119 -3.484 -0.787
-5.464 -2.965 3.399
0.000 0.000 0.000
```

density of states at the Fermi level	0.00	states/eV/cell
relative energy among the computed polymorphs	0.24	eV/f.u.
raw total energy	-3.14	eV per atom
SG	I-42d (122)

=====

No. 2
Here is crystalline Th4OsAu at its relaxed geometry from Alexandria via LeMat-Bulk. Energies are from PBE-GGA.

```
Th4OsAu
1.0
-4.144 3.576 2.731
-5.294 -3.101 -3.973
-0.939 -5.055 5.195
Th Au Os
8 2 2
Cartesian
-1.550 -3.845 2.683
-4.683 -4.311 -1.461
-7.041 -4.059 1.483
-5.690 -1.128 -0.304
-4.688 -3.451 4.258
-4.224 -6.181 1.685
-3.337 -0.521 2.470
-2.009 -1.975 -0.463
-1.036 0.894 0.683
-3.108 2.682 2.048
-4.153 -3.184 1.294
-6.225 -1.396 2.659
```

density of states at the Fermi level	12.36	states/eV/cell
relative energy among the computed polymorphs	0.00	eV/f.u.
raw total energy	-7.74	eV per atom
DFT formation energy	-2.3	eV per formula unit
SG	P4/mcc (124)

=====

No. 3
Here is crystalline Ho2AgRu at its relaxed geometry from Alexandria via LeMat-Bulk. Energies are from PBE-GGA.

```
Ho2AgRu
1.0
4.938 0.000 0.000
2.469 4.277 0.000
2.469 1.426 4.032
Ru Ho Ag
1 2 1
Cartesian
7.407 4.277 3.024
4.938 2.851 2.016
0.000 0.000 0.000
2.469 1.426 1.008
```

density of states at the Fermi level	3.72	states/eV/cell
raw total energy	-5.70	eV per atom
DFT formation energy	-1.5	eV per formula unit
SG	Fm-3m (225)

=====

No. 4
Here is crystalline LaPm3Bi4 at its relaxed geometry from Alexandria via LeMat-Bulk. Energies are from PBE-GGA.

```
LaPm3Bi4
1.0
-1.036 -5.175 3.828
-2.986 -3.048 -4.929
5.702 -2.536 -1.886
Pm Bi La
3 4 1
Cartesian
-2.011 -4.112 -0.551
2.333 -3.855 0.971
1.358 -2.792 -3.407
-0.518 -2.587 1.914
-1.493 -1.524 -2.465
0.840 -5.380 -1.494
2.851 -1.268 -0.943
0.000 0.000 0.000
```

density of states at the Fermi level	0.62	states/eV/cell
raw total energy	-5.31	eV per atom
DFT formation energy	-7.8	eV per formula unit
SG	Pm-3m (221)

=====

No. 5
Here is crystalline GdAg2Hg at its relaxed geometry from Alexandria via LeMat-Bulk. Energies are from PBE-GGA.

```
GdAg2Hg
1.0
-3.380 0.858 -2.736
2.505 -1.385 -3.530
-1.538 -4.238 0.571
Gd Ag Hg
1 2 1
Cartesian
-1.207 -2.383 -2.847
-0.769 -2.119 0.286
1.253 -0.693 -1.765
-1.690 0.429 -1.368
```

density of states at the Fermi level	4.09	states/eV/cell
raw total energy	-5.17	eV per atom
DFT formation energy	-0.6	eV per formula unit
SG	P4/mmm (123)

=====

No. 6
Here is crystalline ReP2Pb at its relaxed geometry from Alexandria via LeMat-Bulk. Energies are from PBE-GGA.

```
ReP2Pb
1.0
-4.108 -2.073 0.367
-0.254 -4.606 0.166
-1.179 -2.106 3.935
P Re Pb
2 1 1
Cartesian
-1.385 -2.196 1.117
0.000 0.000 0.000
-4.156 -6.588 3.351
-2.770 -4.392 2.234
```

density of states at the Fermi level	1.89	states/eV/cell
raw total energy	-5.65	eV per atom
DFT formation energy	4.4	eV per formula unit
SG	F-43m (216)

=====

No. 7
Here is crystalline Li2InW at its relaxed geometry from Alexandria via LeMat-Bulk. Energies are from PBE-GGA.

```
Li2InW
1.0
-3.979 -0.499 -3.343
-3.980 -2.839 -1.834
-3.773 1.846 2.861
In W Li
1 1 2
Cartesian
-8.799 -1.120 -1.738
-2.933 -0.373 -0.579
-8.061 -3.286 -5.095
-5.764 -0.800 -1.241
```

density of states at the Fermi level	3.36	states/eV/cell
raw total energy	-4.50	eV per atom
DFT formation energy	1.5	eV per formula unit
SG	C2/m (12)

=====

No. 8
Here is crystalline HgPdRu3 at its relaxed geometry from Alexandria via LeMat-Bulk. Energies are from PBE-GGA.

```
HgPdRu3
1.0
-1.083 2.571 -3.886
-0.551 -4.032 -2.514
-4.627 -0.122 1.209
Ru Hg Pd
3 1 1
Cartesian
-0.276 -2.016 -1.257
-2.313 -0.061 0.605
-0.542 1.285 -1.943
-3.130 -0.791 -2.595
0.000 0.000 0.000
```

density of states at the Fermi level	5.80	states/eV/cell
relative energy among the computed polymorphs	0.00	eV/f.u.
raw total energy	-4.80	eV per atom
DFT formation energy	9.3	eV per formula unit
SG	Pm-3m (221)

=====

No. 9
Here is crystalline Rb2ZrSbCl at its relaxed geometry from Alexandria via LeMat-Bulk. Energies are from PBE-GGA.

```
Rb2ZrSbCl
1.0
7.222 0.000 0.000
0.000 5.360 0.000
0.000 0.000 7.222
Zr Rb Sb Cl
1 2 1 1
Cartesian
3.611 2.680 3.611
0.000 0.000 3.611
3.611 0.000 0.000
0.000 0.000 0.000
0.000 2.680 0.000
```

density of states at the Fermi level	8.76	states/eV/cell
relative energy among the computed polymorphs	4.40	eV/f.u.
raw total energy	-2.60	eV per atom
uncorrected formation energy	0.6899	eV per atom
SG	P4/mmm (123)

=====

No. 10
Here is crystalline Ca3ThHg4 at its relaxed geometry from Alexandria via LeMat-Bulk. Energies are from PBE-GGA.

```
Ca3ThHg4
1.0
5.152 0.000 1.521
2.351 4.584 1.521
0.044 0.027 9.339
Ca Th Hg
3 1 4
Cartesian
5.680 3.470 9.216
3.773 2.305 6.190
1.866 1.140 3.164
0.000 0.000 0.000
2.848 1.740 9.325
6.591 4.027 6.130
4.699 2.871 3.056
0.955 0.584 6.250
```

density of states at the Fermi level	7.69	states/eV/cell
raw total energy	-2.28	eV per atom
DFT formation energy	-3.6	eV per formula unit
SG	R-3m (166)

=====

No. 11
Here is crystalline LiTbPmTc at its relaxed geometry from Alexandria via LeMat-Bulk. Energies are from PBE-GGA.

```
LiTbPmTc
1.0
-0.346 -4.146 2.761
3.141 -3.799 -0.796
3.536 -1.063 3.362
Pm Tc Li Tb
1 1 1 1
Cartesian
1.583 -2.252 1.332
3.166 -4.504 2.663
0.000 0.000 0.000
4.748 -6.756 3.995
```

density of states at the Fermi level	3.59	states/eV/cell
raw total energy	-5.40	eV per atom
DFT formation energy	0.1	eV per formula unit
SG	F-43m (216)

=====

No. 12
Here is crystalline Pr3SnPb2 at its relaxed geometry from Alexandria via LeMat-Bulk. Energies are from PBE-GGA.

```
Pr3SnPb2
1.0
4.719 0.000 0.000
0.000 12.438 0.000
0.000 0.000 13.290
Pr Pb Sn
12 8 4
Cartesian
1.180 0.756 11.663
3.540 10.981 5.986
3.540 6.975 8.273
3.540 7.676 12.631
1.180 4.762 0.659
1.180 5.462 5.017
1.180 1.457 7.304
3.540 3.649 10.210
3.540 11.681 1.628
1.180 9.868 9.726
1.180 8.789 3.081
3.540 2.570 3.564
1.180 8.820 6.737
3.540 6.018 2.478
3.540 3.618 6.554
1.180 9.837 0.092
3.540 0.200 9.123
1.180 12.237 4.167
3.540 2.601 13.199
1.180 6.419 10.812
1.180 1.546 1.645
1.180 4.673 8.290
3.540 7.764 5.000
3.540 10.892 11.646
```

density of states at the Fermi level	21.48	states/eV/cell
relative energy among the computed polymorphs	0.00	eV/f.u.
raw total energy	-4.82	eV per atom
DFT formation energy	-3.2	eV per formula unit
SG	Pnma (62)

=====

No. 13
Here is crystalline LiTlCoCl6 at its relaxed geometry from Alexandria via LeMat-Bulk. Energies are from PBE-GGA.

```
LiTlCoCl6
1.0
-5.173 -3.087 1.961
-3.866 -2.706 -4.226
3.228 -5.178 0.363
Cl Li Tl Co
6 1 1 1
Cartesian
0.341 -4.888 0.826
-0.621 -2.539 -1.343
-3.291 -4.234 -1.783
-0.220 -5.454 -2.265
-2.237 -6.556 -0.049
-2.366 -3.450 1.171
-4.412 -6.451 -1.329
-1.945 -8.265 2.323
-1.399 -4.520 -0.574
```

density of states at the Fermi level	6.68	states/eV/cell
raw total energy	-3.34	eV per atom
uncorrected formation energy	-0.8467	eV per atom
SG	P312 (149)

=====

No. 14
Here is crystalline La2Tb4SmEr at its relaxed geometry from Alexandria via LeMat-Bulk. Energies are from PBE-GGA.

```
La2Tb4SmEr
1.0
-0.810 -3.326 3.836
0.303 -3.886 -3.305
10.315 -4.478 -1.704
La Tb Sm Er
2 4 1 1
Cartesian
10.315 -4.478 -1.704
4.753 -3.902 1.066
2.412 -5.698 -0.986
7.946 -6.273 -3.762
7.396 -5.992 -0.188
1.862 -5.416 2.588
10.062 -8.083 -1.439
5.309 -4.182 -2.505
```

density of states at the Fermi level	12.42	states/eV/cell
raw total energy	-4.68	eV per atom
DFT formation energy	0.2	eV per formula unit
SG	P2/m (10)

=====

No. 15
Here is crystalline Sb3As2 at its relaxed geometry from Alexandria via LeMat-Bulk. Energies are from PBE-GGA.

```
Sb3As2
1.0
2.543 -4.404 0.000
2.543 4.404 0.000
0.000 0.000 6.034
As Sb
2 3
Cartesian
2.543 -1.468 1.446
2.543 1.468 4.588
2.543 -1.468 4.437
2.543 1.468 1.597
0.000 0.000 0.000
```

density of states at the Fermi level	2.08	states/eV/cell
relative energy among the computed polymorphs	0.92	eV/f.u.
raw total energy	-4.09	eV per atom
uncorrected formation energy	0.2482	eV per atom
SG	P-3m1 (164)

=====

No. 16
Here is crystalline PmPu2Au at its relaxed geometry from Alexandria via LeMat-Bulk. Energies are from PBE-GGA.

```
PmPu2Au
1.0
5.224 0.000 0.000
2.612 4.524 0.000
2.612 1.508 4.266
Pu Au Pm
2 1 1
Cartesian
2.612 1.508 1.066
7.836 4.524 3.199
5.224 3.016 2.133
0.000 0.000 0.000
```

density of states at the Fermi level	16.26	states/eV/cell
relative energy among the computed polymorphs	0.68	eV/f.u.
raw total energy	-9.16	eV per atom
DFT formation energy	0.1	eV per formula unit
SG	Fm-3m (225)

=====

No. 17
Here is crystalline Na3In4Hg4 at its relaxed geometry from Alexandria via LeMat-Bulk. Energies are from PBE-GGA.

```
Na3In4Hg4
1.0
4.616 0.000 0.000
0.000 8.375 0.000
-2.308 -4.187 7.936
In Hg Na
4 4 3
Cartesian
0.000 -1.645 5.236
2.308 2.543 2.700
2.308 5.832 2.700
0.000 1.645 5.236
0.000 4.187 3.572
2.308 6.866 0.000
2.308 1.509 0.000
2.308 0.000 4.364
0.000 4.187 0.000
2.308 4.187 6.020
0.000 0.000 1.915
```

density of states at the Fermi level	3.76	states/eV/cell
relative energy among the computed polymorphs	0.18	eV/f.u.
raw total energy	-1.60	eV per atom
DFT formation energy	-1.5	eV per formula unit
SG	Immm (71)

=====

No. 18
Here is crystalline Sc4TlBiO at its relaxed geometry from Alexandria via LeMat-Bulk. Energies are from PBE-GGA.

```
Sc4TlBiO
1.0
6.172 0.000 0.000
0.000 6.173 0.000
-3.086 0.000 7.716
Sc Bi O Tl
8 2 2 2
Cartesian
1.543 0.000 3.858
0.000 4.630 6.274
0.000 4.630 1.364
1.543 3.086 3.858
-1.543 3.086 3.858
3.086 1.543 1.441
-1.543 0.000 3.858
3.086 1.543 6.351
0.000 1.543 6.120
3.086 4.630 1.596
0.000 4.630 3.843
3.086 1.543 3.873
0.000 1.543 1.636
3.086 4.630 6.080
```

density of states at the Fermi level	13.83	states/eV/cell
raw total energy	-6.35	eV per atom
uncorrected formation energy	-1.1350	eV per atom
SG	Cmcm (63)

=====

No. 19
Here is crystalline TbY2Ho7 at its relaxed geometry from Alexandria via LeMat-Bulk. Energies are from PBE-GGA.

```
TbY2Ho7
1.0
5.089 0.000 0.000
0.000 9.730 -0.962
0.000 -5.248 8.250
Y Ho Tb
2 7 1
Cartesian
2.545 5.283 1.773
2.545 -0.801 5.514
2.545 2.096 6.945
2.545 2.241 3.644
0.000 6.854 0.807
0.000 -2.372 6.481
2.545 2.386 0.343
2.545 5.252 5.004
2.545 -0.770 2.284
0.000 0.000 0.000
```

density of states at the Fermi level	12.85	states/eV/cell
relative energy among the computed polymorphs	4.99	eV/f.u.
raw total energy	-4.26	eV per atom
DFT formation energy	7.0	eV per formula unit
SG	Cmmm (65)

=====

No. 20
Here is crystalline TbPrDy2Ho2 at its relaxed geometry from Alexandria via LeMat-Bulk. Energies are from PBE-GGA.

```
TbPrDy2Ho2
1.0
3.393 0.000 0.000
0.000 6.580 0.000
0.000 0.000 17.747
Ho Pr Tb Dy
4 2 2 4
Cartesian
0.000 1.486 3.265
0.000 5.095 14.482
1.696 4.776 5.608
1.696 1.805 12.138
0.000 0.000 0.000
1.696 3.290 8.873
0.000 0.000 8.873
1.696 3.290 0.000
1.696 5.115 11.530
0.000 1.825 15.091
1.696 1.465 6.217
0.000 4.755 2.656
```

density of states at the Fermi level	19.01	states/eV/cell
raw total energy	-4.35	eV per atom
DFT formation energy	1.7	eV per formula unit
SG	Pnnm (58)

=====

No. 21
Here is crystalline TlAgSb2 at its relaxed geometry from Alexandria via LeMat-Bulk. Energies are from PBE-GGA.

```
TlAgSb2
1.0
-1.389 -3.098 3.014
-2.392 -2.085 -3.246
6.800 -8.824 -2.518
Ag Sb Tl
2 4 2
Cartesian
1.259 -6.750 -2.940
-1.891 -2.592 -0.116
-0.029 -4.031 -2.151
1.895 -11.063 -1.952
3.579 -8.652 -2.116
0.593 -4.269 0.718
0.000 0.000 0.000
1.760 -7.257 0.190
```

density of states at the Fermi level	2.93	states/eV/cell
raw total energy	-3.24	eV per atom
uncorrected formation energy	0.1292	eV per atom
SG	I-42d (122)

=====

No. 22
Here is crystalline YIrW4 at its relaxed geometry from Alexandria via LeMat-Bulk. Energies are from PBE-GGA.

```
YIrW4
1.0
0.000 3.790 3.790
3.790 0.000 3.790
3.790 3.790 0.000
Ir W Y
1 4 1
Cartesian
0.000 0.000 0.000
4.727 2.853 4.727
2.853 2.853 2.853
2.853 4.727 4.727
4.727 4.727 2.853
5.686 5.686 5.686
```

density of states at the Fermi level	6.46	states/eV/cell
raw total energy	-10.87	eV per atom
DFT formation energy	1.9	eV per formula unit
SG	F-43m (216)

=====

No. 23
Here is crystalline Mn3Au5 at its relaxed geometry from Alexandria via LeMat-Bulk. Energies are from PBE-GGA.

```
Mn3Au5
1.0
3.359 0.000 0.000
0.000 3.359 0.000
0.000 0.000 11.966
Mn Au
3 5
Cartesian
0.000 0.000 5.983
1.680 1.680 10.431
1.680 1.680 1.534
1.680 1.680 4.555
0.000 0.000 9.052
0.000 0.000 0.000
1.680 1.680 7.411
0.000 0.000 2.914
```

density of states at the Fermi level	4.11	states/eV/cell
raw total energy	-5.56	eV per atom
DFT formation energy	-0.6	eV per formula unit
SG	P4/mmm (123)

=====

No. 24
Here is crystalline KB4S7 at its relaxed geometry from Alexandria via LeMat-Bulk. Energies are from PBE-GGA.

```
KB4S7
1.0
-1.867 -4.346 2.461
-0.371 -2.645 -4.951
12.492 -4.526 1.482
S B K
14 8 2
Cartesian
9.822 -6.992 0.797
5.771 -8.899 0.133
7.382 -7.892 2.683
-1.216 -4.275 -2.803
1.813 -5.289 -2.722
8.356 -7.660 -1.945
6.891 -5.600 0.607
4.326 -7.071 2.239
0.574 -3.641 -0.301
8.839 -9.972 0.141
1.434 -5.737 1.977
2.528 -7.724 -0.252
3.680 -4.437 0.226
-0.442 -6.609 -0.960
0.205 -4.937 -1.642
8.895 -5.900 -2.788
4.367 -3.004 -0.850
7.508 -4.143 -0.477
1.957 -4.091 0.921
8.252 -6.372 1.668
9.555 -8.325 -0.533
2.699 -3.656 -3.523
5.003 -6.576 -1.958
-0.089 -0.568 -0.986
```

density of states at the Fermi level	13.65	states/eV/cell
raw total energy	-5.19	eV per atom
uncorrected formation energy	-0.4636	eV per atom
SG	Pmn2_1 (31)